# 1
This record from the Alexandria database describes a geometry-optimized BaGaAu2 structure. The functional is PBE.

```
4
Lattice="-2.475 2.942 2.533 -4.265 -1.124 1.322 -0.126 -1.765 6.111" Properties=species:S:1:pos:R:3 pbc="T T T"
Au -5.449 0.374 6.794
Au -1.418 -0.321 3.172
Ba 0.000 0.000 0.000
Ga -3.433 0.027 4.983
```

Results
D(E_F)	2.0	states/eV per cell
ΔH_f (0 K)	-0.55	eV per atom
symmetry	R-3m (166)


# 2
This record from the Alexandria database describes a geometry-optimized SrCuAs2Se structure. The functional is PBE.

```
5
Lattice="-0.483 5.601 -0.898 -4.238 0.243 3.794 3.732 0.980 4.105" Properties=species:S:1:pos:R:3 pbc="T T T"
Sr 0.000 0.000 0.000
Se 1.866 0.490 2.053
Cu -0.494 3.412 3.501
As -0.241 2.801 -0.449
As -2.119 0.122 1.897
```

Results
ΔE_f (raw)	1.063	eV/atom
D(E_F)	4.9	states/eV per cell
symmetry	P4/mmm (123)


# 3
This record from the Alexandria database describes a geometry-optimized Rb2ZnN4 structure. The functional is PBE.

```
28
Lattice="-6.894 1.073 -0.543 -0.628 -6.554 -4.970 -2.261 -10.858 7.267" Properties=species:S:1:pos:R:3 pbc="T T T"
N -5.451 -3.319 -2.686
N -2.298 -13.461 2.093
N -4.542 -3.512 0.296
N -1.480 -7.808 -1.968
N -4.333 -13.020 4.440
N -5.245 -8.833 3.561
N -5.242 -12.828 1.458
N -8.304 -8.532 3.723
N -4.609 -15.683 2.689
N -5.175 -0.656 -0.935
N -7.486 -2.879 -0.338
N -4.538 -7.507 -1.806
N -3.126 -10.309 -0.917
N -6.935 -8.694 0.920
N -6.658 -6.031 2.671
N -2.849 -7.646 0.834
Rb -2.752 -4.881 -1.642
Rb -3.211 -10.414 2.045
Rb -7.636 -15.037 1.576
Rb -6.806 -9.561 -2.081
Rb -2.978 -6.779 3.836
Rb -6.572 -5.925 -0.290
Rb -7.032 -11.459 3.396
Rb -2.148 -1.303 0.178
Zn -5.682 -2.512 -0.916
Zn -3.040 -8.387 -0.968
Zn -6.744 -7.952 2.723
Zn -4.102 -13.827 2.671
```

Results
ΔE_f (raw)	1.565	eV/atom
symmetry	P2_1/c (14)


# 4
This record from the Alexandria database describes a geometry-optimized Nd2HoGa2Rh5 structure. The functional is PBE.

```
20
Lattice="-1.981 -0.977 2.861 6.222 -7.907 1.609 5.824 5.806 6.016" Properties=species:S:1:pos:R:3 pbc="T T T"
Nd 2.981 0.511 2.239
Nd 6.833 2.219 5.490
Nd 9.064 -2.612 5.386
Nd 5.212 -4.320 2.135
Rh 2.120 -4.442 2.235
Rh 6.710 -0.845 6.642
Rh 3.354 -2.233 3.844
Rh 4.018 3.526 6.271
Rh 4.104 0.557 5.316
Rh 1.921 2.415 4.439
Rh 6.046 -6.604 4.215
Rh 5.959 -3.634 5.170
Rh 9.319 -1.300 8.294
Rh 0.745 -1.778 2.192
Ga 7.667 -4.748 3.689
Ga 4.378 2.647 3.936
Ga 3.062 -2.284 1.341
Ga 8.983 0.183 6.284
Ho 0.000 0.000 0.000
Ho 6.023 -1.050 3.812
```

Results
D(E_F)	9.2	states/eV per cell
ΔH_f (0 K)	-0.78	eV per atom
symmetry	P4/mbm (127)


# 5
This record from the Alexandria database describes a geometry-optimized Ti4In2B structure. The functional is PBE.

```
7
Lattice="-3.679 -1.339 1.695 -0.326 -2.967 -3.049 1.580 -6.780 3.443" Properties=species:S:1:pos:R:3 pbc="T T T"
Ti -2.917 -5.710 -0.102
Ti 0.492 -5.375 2.192
Ti -0.163 -1.483 -1.524
Ti -1.840 -0.669 0.848
B 0.000 0.000 0.000
In -0.973 -3.483 0.508
In -1.452 -7.602 1.582
```

Results
D(E_F)	4.8	states/eV per cell
ΔH_f (0 K)	-0.18	eV per atom
symmetry	I4/mmm (139)


# 6
This record from the Alexandria database describes a geometry-optimized HfTl2CdOs structure. The functional is PBE.

```
5
Lattice="-3.227 3.877 1.214 -1.953 -2.840 3.879 3.562 1.956 3.225" Properties=species:S:1:pos:R:3 pbc="T T T"
Tl 1.781 0.978 1.613
Tl -1.614 1.938 0.607
Os 0.000 0.000 0.000
Hf -0.809 1.496 4.159
Cd -0.976 -1.420 1.939
```

Results
D(E_F)	5.1	states/eV per cell
ΔH_f (0 K)	1.14	eV per atom
symmetry	P4/mmm (123)


# 7
This record from the Alexandria database describes a geometry-optimized BaInI4Br structure. The functional is PBE.

```
14
Lattice="8.631 -0.265 1.454 2.609 8.232 1.454 4.121 2.921 12.682" Properties=species:S:1:pos:R:3 pbc="T T T"
I 6.330 4.487 3.400
I 8.578 2.261 11.234
I 3.918 2.777 6.816
I 10.387 3.543 4.355
I 6.784 8.627 4.355
I 4.975 7.345 11.234
I 9.031 6.401 12.190
I 11.444 8.111 8.773
Br 4.259 3.018 10.658
Br 11.103 7.869 4.931
In 11.198 7.937 11.436
In 4.163 2.951 4.153
Ba 9.335 6.616 2.702
Ba 6.027 4.271 12.887
```

Results
ΔE_f (raw)	-1.071	eV/atom
D(E_F)	0.0	states/eV per cell
symmetry	C2/m (12)


# 8
This record from the Alexandria database describes a geometry-optimized PSeBr2 structure. The functional is PBE.

```
4
Lattice="2.162 -4.469 -0.294 -2.797 -4.097 -0.354 -0.140 -2.555 -4.265" Properties=species:S:1:pos:R:3 pbc="T T T"
P 0.000 0.000 0.000
Br -0.194 -2.780 -1.228
Br -0.581 -8.341 -3.684
Se -0.387 -5.560 -2.456
```

Results
ΔE_f (raw)	0.934	eV/atom
D(E_F)	4.6	states/eV per cell
symmetry	Fm-3m (225)


So what do the calculations give for calculated density? Going down the list: 9.404; 3.455; 2.691; 9.800; 5.506; 10.580; 3.346; 5.150 Mg/m³.